Below is a relaxed GaPAuCl2 crystal, with properties calculated at the PBE-GGA level.

The size of the total moment is 0.000 μB/atom. As for the density of states at the Fermi level: 2.02 states/eV/f.u. For the uncorrected formation energy, the calculation gives 6.07 kcal/mol of atoms.

The structure belongs to space group P4/mmm (No. 123); the cell edges are 4.596, 4.596 and 5.296 Å and the angles 90.00°, 90.00° and 90.00°. The distinct sites, in fractional coordinates, are Ga at (0.000, 0.000, 0.000), P at (0.000, 0.000, 0.500), Au at (0.500, 0.500, 0.500) and Cl at (0.000, 0.500, 0.000).